LaPd5 | GGA-PBE | relaxed

a = 5.166 Å, b = 5.166 Å, c = 4.966 Å
α = 99.12°, β = 99.12°, γ = 121.35°
Fractional positions:
La1 0.000 0.000 0.000
Pd1 0.181 0.819 0.500
Pd2 0.335 0.665 0.000
Pd3 0.500 0.500 0.500
Pd4 0.665 0.335 0.000
Pd5 0.819 0.181 0.500

Results
- Density: 10.41 g/cm³
- Formation enthalpy at 0 K: -3.07 eV/f.u.
- DOS(E_F): 0.351 states/eV per atom
- Crystal system: monoclinic
- SG: No. 12